FeP2IrO: relaxed, PBE+U.

Calculated values
As for the energy above the most stable polymorph in this dataset: 0 meV per atom. As for the crystal system: tetragonal. The value obtained for the mass density is 6.3 g cm⁻³.

Unit cell a=4.810 b=4.810 c=3.687 alpha=90.00 beta=90.00 gamma=90.00
Positions (direct):
Fe (0.000, 0.000, 0.000)
P (0.000, 0.500, 0.500)
P (0.500, 0.000, 0.500)
Ir (0.500, 0.500, 0.500)
O (0.500, 0.500, 0.000)